Record 1
# Rb2PmErTe4 (GGA-PBE, optimized geometry)
data_Rb2PmErTe4
_symmetry_space_group_name_H-M 'P 1'
_symmetry_Int_Tables_number 1
_symmetry_space_group_name_Hall 'P 1'
_cell_length_a 4.560
_cell_length_b 7.901
_cell_length_c 8.954
_cell_angle_alpha 107.09
_cell_angle_beta 90.00
_cell_angle_gamma 90.00
loop_
_atom_site_label
_atom_site_type_symbol
_atom_site_fract_x
_atom_site_fract_y
_atom_site_fract_z
Rb1 Rb 0.500 0.000 0.500
Te1 Te 0.500 0.226 0.199
Er1 Er 0.000 0.000 0.000
Te2 Te 0.500 0.774 0.801
Rb2 Rb 0.000 0.500 0.500
Te3 Te 0.000 0.741 0.202
Pm1 Pm 0.500 0.500 0.000
Te4 Te 0.000 0.259 0.798
# - formation energy without anion corrections (eV/atom) = -1.385

---

Record 2
# Rb4PmEr3Te8 (GGA-PBE, optimized geometry)
data_Rb4PmEr3Te8
_symmetry_space_group_name_H-M 'P 1'
_symmetry_Int_Tables_number 1
_symmetry_space_group_name_Hall 'P 1'
_cell_length_a 9.058
_cell_length_b 10.026
_cell_length_c 9.059
_cell_angle_alpha 116.86
_cell_angle_beta 120.00
_cell_angle_gamma 90.00
loop_
_atom_site_label
_atom_site_type_symbol
_atom_site_fract_x
_atom_site_fract_y
_atom_site_fract_z
Rb1 Rb 0.000 0.000 0.500
Te1 Te 0.274 0.300 0.037
Rb2 Rb 0.500 0.000 0.500
Te2 Te 0.763 0.300 0.526
Te3 Te 0.237 0.700 0.474
Er1 Er 0.500 0.500 0.500
Te4 Te 0.237 0.700 0.963
Pm1 Pm 0.000 0.500 0.000
Rb3 Rb 0.500 0.000 0.000
Er2 Er 0.000 0.500 0.500
Te5 Te 0.726 0.700 0.963
Te6 Te 0.268 0.303 0.535
Rb4 Rb 0.000 0.000 0.000
Te7 Te 0.732 0.697 0.465
Er3 Er 0.500 0.500 0.000
Te8 Te 0.763 0.300 0.037
# - formation energy without anion corrections (eV/atom) = -1.376

---

Record 3
# Rb3Pm2ErTe6 (GGA-PBE, optimized geometry)
data_Rb3Pm2ErTe6
_symmetry_space_group_name_H-M 'P 1'
_symmetry_Int_Tables_number 1
_symmetry_space_group_name_Hall 'P 1'
_cell_length_a 7.935
_cell_length_b 7.935
_cell_length_c 8.963
_cell_angle_alpha 98.50
_cell_angle_beta 98.50
_cell_angle_gamma 120.00
loop_
_atom_site_label
_atom_site_type_symbol
_atom_site_fract_x
_atom_site_fract_y
_atom_site_fract_z
Pm1 Pm 0.666 0.334 0.000
Rb1 Rb 0.831 0.169 0.500
Te1 Te 0.933 0.607 0.799
Te2 Te 0.067 0.393 0.201
Rb2 Rb 0.500 0.500 0.500
Er1 Er 0.000 0.000 0.000
Te3 Te 0.742 0.742 0.202
Rb3 Rb 0.169 0.831 0.500
Pm2 Pm 0.334 0.666 0.000
Te4 Te 0.607 0.933 0.799
Te5 Te 0.393 0.067 0.201
Te6 Te 0.258 0.258 0.798
# - formation energy without anion corrections (eV/atom) = -1.393

---

Record 4
# Rb3Pm3ErTe8 (GGA-PBE, optimized geometry)
data_Rb3Pm3ErTe8
_symmetry_space_group_name_H-M 'P 1'
_symmetry_Int_Tables_number 1
_symmetry_space_group_name_Hall 'P 1'
_cell_length_a 8.983
_cell_length_b 8.986
_cell_length_c 10.268
_cell_angle_alpha 115.97
_cell_angle_beta 90.00
_cell_angle_gamma 119.98
loop_
_atom_site_label
_atom_site_type_symbol
_atom_site_fract_x
_atom_site_fract_y
_atom_site_fract_z
Te1 Te 0.265 0.530 0.295
Rb1 Rb 0.000 0.000 0.000
Te2 Te 0.770 0.030 0.300
Rb2 Rb 0.500 0.500 0.000
Te3 Te 0.260 0.030 0.300
Te4 Te 0.230 0.970 0.700
Te5 Te 0.770 0.540 0.300
Te6 Te 0.735 0.470 0.705
Te7 Te 0.230 0.460 0.700
Pm1 Pm 0.500 0.000 0.500
Pm2 Pm 0.500 0.500 0.500
Pm3 Pm 0.000 0.500 0.500
Rb3 Rb 0.000 0.500 0.000
Te8 Te 0.740 0.970 0.700
Er1 Er 0.000 0.000 0.500
# - Fermi-level density of states (states/eV/f.u.) = 8.16
# - formation energy without anion corrections (eV/atom) = -1.320

---

Record 5
# Pm2ErRe (GGA-PBE, optimized geometry)
data_Pm2ErRe
_symmetry_space_group_name_H-M 'P 1'
_symmetry_Int_Tables_number 1
_symmetry_space_group_name_Hall 'P 1'
_cell_length_a 3.296
_cell_length_b 3.296
_cell_length_c 11.537
_cell_angle_alpha 81.79
_cell_angle_beta 81.79
_cell_angle_gamma 60.00
loop_
_atom_site_label
_atom_site_type_symbol
_atom_site_fract_x
_atom_site_fract_y
_atom_site_fract_z
Er1 Er 0.500 0.500 0.500
Re1 Re 0.000 0.000 0.000
Pm1 Pm 0.078 0.078 0.766
Pm2 Pm 0.922 0.922 0.234
# - Fermi-level density of states (states/eV/f.u.) = 6.32
# - ΔH_f (0 K) (eV per formula unit) = 3.5

---

Record 6
# PmErRh2 (GGA-PBE, optimized geometry)
data_PmErRh2
_symmetry_space_group_name_H-M 'P 1'
_symmetry_Int_Tables_number 1
_symmetry_space_group_name_Hall 'P 1'
_cell_length_a 3.405
_cell_length_b 3.405
_cell_length_c 7.130
_cell_angle_alpha 90.00
_cell_angle_beta 90.00
_cell_angle_gamma 90.00
loop_
_atom_site_label
_atom_site_type_symbol
_atom_site_fract_x
_atom_site_fract_y
_atom_site_fract_z
Rh1 Rh 0.000 0.000 0.763
Pm1 Pm 0.500 0.500 0.500
Er1 Er 0.500 0.500 0.000
Rh2 Rh 0.000 0.000 0.237
# - Fermi-level density of states (states/eV/f.u.) = 2.55
# - energy above the lowest structure with this stoichiometry (kJ/mol of formula units) = 1
# - ΔH_f (0 K) (eV per formula unit) = -3.2

---

Record 7
# Pm2Er5Rh4 (GGA-PBE, optimized geometry)
data_Pm2Er5Rh4
_symmetry_space_group_name_H-M 'P 1'
_symmetry_Int_Tables_number 1
_symmetry_space_group_name_Hall 'P 1'
_cell_length_a 3.542
_cell_length_b 6.845
_cell_length_c 12.166
_cell_angle_alpha 86.85
_cell_angle_beta 98.37
_cell_angle_gamma 90.00
loop_
_atom_site_label
_atom_site_type_symbol
_atom_site_fract_x
_atom_site_fract_y
_atom_site_fract_z
Rh1 Rh 0.972 0.299 0.944
Rh2 Rh 0.330 0.478 0.661
Er1 Er 0.866 0.179 0.732
Rh3 Rh 0.670 0.522 0.339
Er2 Er 0.233 0.280 0.466
Rh4 Rh 0.028 0.701 0.056
Er3 Er 0.134 0.821 0.268
Er4 Er 0.767 0.720 0.534
Pm1 Pm 0.087 0.341 0.174
Er5 Er 0.500 0.000 0.000
Pm2 Pm 0.913 0.659 0.826
# - Fermi-level density of states (states/eV/f.u.) = 8.95
# - ΔH_f (0 K) (eV per formula unit) = -4.7

---

Record 8
# PmErRh (GGA-PBE, optimized geometry)
data_PmErRh
_symmetry_space_group_name_H-M 'P 1'
_symmetry_Int_Tables_number 1
_symmetry_space_group_name_Hall 'P 1'
_cell_length_a 4.671
_cell_length_b 7.444
_cell_length_c 7.444
_cell_angle_alpha 120.00
_cell_angle_beta 90.00
_cell_angle_gamma 90.00
loop_
_atom_site_label
_atom_site_type_symbol
_atom_site_fract_x
_atom_site_fract_y
_atom_site_fract_z
Rh1 Rh 0.000 0.000 0.000
Er1 Er 0.500 0.000 0.262
Er2 Er 0.500 0.262 0.000
Er3 Er 0.500 0.738 0.738
Pm1 Pm 0.000 0.406 0.406
Pm2 Pm 0.000 0.000 0.594
Rh2 Rh 0.500 0.333 0.667
Pm3 Pm 0.000 0.594 0.000
Rh3 Rh 0.500 0.667 0.333
# - Fermi-level density of states (states/eV/f.u.) = 3.29
# - energy above the lowest structure with this stoichiometry (kJ/mol of formula units) = 0
# - ΔH_f (0 K) (eV per formula unit) = -1.8

---

Record 9
# PmErRh (GGA-PBE, optimized geometry)
data_PmErRh
_symmetry_space_group_name_H-M 'P 1'
_symmetry_Int_Tables_number 1
_symmetry_space_group_name_Hall 'P 1'
_cell_length_a 3.482
_cell_length_b 3.482
_cell_length_c 6.801
_cell_angle_alpha 104.83
_cell_angle_beta 104.83
_cell_angle_gamma 90.00
loop_
_atom_site_label
_atom_site_type_symbol
_atom_site_fract_x
_atom_site_fract_y
_atom_site_fract_z
Er1 Er 0.039 0.039 0.079
Pm1 Pm 0.301 0.301 0.602
Rh1 Rh 0.660 0.660 0.319
# - Fermi-level density of states (states/eV/f.u.) = 3.78
# - energy above the lowest structure with this stoichiometry (kJ/mol of formula units) = 22
# - ΔH_f (0 K) (eV per formula unit) = -1.5

---

Record 10
# PmEr2Rh2 (GGA-PBE, optimized geometry)
data_PmEr2Rh2
_symmetry_space_group_name_H-M 'P 1'
_symmetry_Int_Tables_number 1
_symmetry_space_group_name_Hall 'P 1'
_cell_length_a 3.836
_cell_length_b 7.488
_cell_length_c 8.640
_cell_angle_alpha 90.00
_cell_angle_beta 102.82
_cell_angle_gamma 90.00
loop_
_atom_site_label
_atom_site_type_symbol
_atom_site_fract_x
_atom_site_fract_y
_atom_site_fract_z
Er1 Er 0.031 0.244 0.062
Pm1 Pm 0.373 0.413 0.746
Er2 Er 0.969 0.744 0.938
Pm2 Pm 0.627 0.913 0.254
Rh1 Rh 0.801 0.644 0.601
Rh2 Rh 0.199 0.144 0.399
Er3 Er 0.184 0.524 0.368
Er4 Er 0.816 0.024 0.632
Rh3 Rh 0.550 0.541 0.101
Rh4 Rh 0.450 0.041 0.899
# - Fermi-level density of states (states/eV/f.u.) = 3.48
# - energy above the lowest structure with this stoichiometry (kJ/mol of formula units) = 13
# - ΔH_f (0 K) (eV per formula unit) = -3.0

---

| no. | spin magnetization (μB per atom) |
| --- | --- |
| 1 | 0.00 |
| 2 | 0.00 |
| 3 | 0.00 |
| 4 | 0.00 |
| 5 | 0.00 |
| 6 | 0.00 |
| 7 | 0.00 |
| 8 | 0.00 |
| 9 | 0.00 |
| 10 | 0.00 |